(1)
This record from the Alexandria database describes a geometry-optimized Dy2IrBr2 structure. The functional is GGA-PBE.

Formation energy (no corrections) (eV per atom): -1.35
Total magnetization (μB/f.u.): 0.00

Cell lengths 4.100, 6.437, 11.706 Å; angles 104.77, 100.08, 90.00 degrees
Element x y z (fractional)
Br 0.403 0.635 0.807
Br 0.597 0.365 0.193
Br 0.917 0.101 0.834
Br 0.083 0.899 0.166
Ir 0.757 0.187 0.515
Ir 0.243 0.813 0.485
Dy 0.193 0.331 0.385
Dy 0.340 0.200 0.679
Dy 0.807 0.669 0.615
Dy 0.660 0.800 0.321


(2)
This record from the Alexandria database describes a geometry-optimized Ho6AlZn structure. The functional is GGA-PBE.

Formation energy (eV per atom): -0.168
Total magnetization (μB/f.u.): 0.00

Cell lengths 5.003, 5.003, 9.380 Å; angles 74.62, 74.62, 90.14 degrees
Element x y z (fractional)
Ho 0.105 0.605 0.790
Ho 0.895 0.395 0.210
Ho 0.749 0.749 0.502
Ho 0.605 0.105 0.790
Ho 0.395 0.895 0.210
Ho 0.251 0.251 0.498
Zn 0.000 0.000 0.000
Al 0.500 0.500 0.000


(3)
This record from the Alexandria database describes a geometry-optimized TbFe2Co9 structure. The functional is GGA-PBE.

Formation energy (eV per atom): -0.075
Total magnetization (μB/f.u.): 18.82

Cell lengths 4.681, 8.021, 8.021 Å; angles 90.00, 90.00, 90.00 degrees
Element x y z (fractional)
Co 0.500 0.214 0.935
Co 0.765 0.321 0.179
Co 0.765 0.679 0.821
Co 0.500 0.786 0.065
Co 0.235 0.821 0.321
Co 0.500 0.500 0.000
Co 0.500 0.000 0.500
Co 0.235 0.679 0.821
Co 0.500 0.435 0.714
Co 0.500 0.286 0.435
Co 0.500 0.065 0.214
Co 0.500 0.935 0.786
Co 0.765 0.179 0.679
Co 0.235 0.179 0.679
Co 0.500 0.714 0.565
Co 0.235 0.321 0.179
Co 0.765 0.821 0.321
Co 0.500 0.565 0.286
Fe 0.000 0.615 0.115
Fe 0.000 0.885 0.615
Fe 0.000 0.385 0.885
Fe 0.000 0.115 0.385
Tb 0.000 0.000 0.000
Tb 0.000 0.500 0.500


(4)
This record from the Alexandria database describes a geometry-optimized SrNb2AgCl structure. The functional is GGA-PBE.

Formation energy (no corrections) (eV per atom): 1.93
Total magnetization (μB/f.u.): 0.00

Cell lengths 5.143, 5.281, 5.143 Å; angles 90.00, 90.00, 90.00 degrees
Element x y z (fractional)
Nb 0.500 0.000 0.000
Nb 0.000 0.000 0.500
Ag 0.500 0.500 0.500
Sr 0.000 0.000 0.000
Cl 0.000 0.500 0.000


(5)
This record from the Alexandria database describes a geometry-optimized K3La3TbSe8 structure. The functional is GGA-PBE.

Formation energy (no corrections) (eV per atom): -1.72
Total magnetization (μB/f.u.): 0.00

Cell lengths 8.783, 8.789, 9.257 Å; angles 118.37, 90.00, 119.98 degrees
Element x y z (fractional)
Se 0.772 0.026 0.298
Se 0.228 0.456 0.702
Se 0.772 0.544 0.298
Se 0.262 0.525 0.287
Se 0.746 0.974 0.702
Se 0.228 0.974 0.702
Se 0.254 0.026 0.298
Se 0.738 0.475 0.713
La 0.500 0.000 0.500
La 0.000 0.500 0.500
La 0.500 0.500 0.500
K 0.000 0.000 0.000
K 0.500 0.500 0.000
K 0.000 0.500 0.000
Tb 0.000 0.000 0.500


(6)
This record from the Alexandria database describes a geometry-optimized BaGa4Sn structure. The functional is GGA-PBE.

Formation energy (eV per atom): -0.282
Total magnetization (μB/f.u.): 0.00

Cell lengths 4.647, 8.351, 16.130 Å; angles 90.00, 90.00, 90.00 degrees
Element x y z (fractional)
Ga 0.500 0.009 0.695
Ga 0.500 0.112 0.549
Ga 0.500 0.509 0.805
Ga 0.500 0.798 0.187
Ga 0.500 0.702 0.687
Ga 0.500 0.202 0.813
Ga 0.500 0.634 0.533
Ga 0.500 0.366 0.467
Ga 0.500 0.388 0.049
Ga 0.500 0.888 0.451
Ga 0.500 0.298 0.313
Ga 0.500 0.866 0.033
Ga 0.500 0.491 0.195
Ga 0.500 0.612 0.951
Ga 0.500 0.134 0.967
Ga 0.500 0.991 0.305
Ba 0.000 0.137 0.150
Ba 0.000 0.637 0.350
Ba 0.000 0.863 0.850
Ba 0.000 0.363 0.650
Sn 0.000 0.353 0.908
Sn 0.000 0.147 0.408
Sn 0.000 0.853 0.592
Sn 0.000 0.647 0.092


(7)
This record from the Alexandria database describes a geometry-optimized Mg2Co structure. The functional is GGA-PBE.

Formation energy (eV per atom): 0.179
Total magnetization (μB/f.u.): 0.34

Cell lengths 12.168, 12.168, 12.168 Å; angles 165.88, 165.88, 20.02 degrees
Element x y z (fractional)
Mg 0.314 0.814 0.500
Mg 0.564 0.564 0.000
Mg 0.186 0.686 0.500
Mg 0.436 0.436 0.000
Co 0.750 0.250 0.500
Co 0.000 0.000 0.000


(8)
This record from the Alexandria database describes a geometry-optimized Sr2Tl5Pd4 structure. The functional is GGA-PBE.

Formation energy (eV per atom): -0.304
Total magnetization (μB/f.u.): 0.00

Cell lengths 6.146, 7.305, 7.299 Å; angles 78.44, 65.10, 65.12 degrees
Element x y z (fractional)
Pd 0.244 0.090 0.422
Pd 0.756 0.577 0.910
Pd 0.756 0.910 0.578
Pd 0.244 0.423 0.090
Tl 0.000 0.500 0.500
Tl 0.252 0.181 0.820
Tl 0.748 0.819 0.180
Tl 0.252 0.819 0.180
Tl 0.748 0.181 0.820
Sr 0.280 0.720 0.719
Sr 0.720 0.280 0.281


(9)
This record from the Alexandria database describes a geometry-optimized Cu2Ag5Cl12 structure. The functional is GGA-PBE.

Formation energy (no corrections) (eV per atom): -0.40
Total magnetization (μB/f.u.): 0.00

Cell lengths 8.008, 8.652, 9.707 Å; angles 110.05, 130.25, 78.80 degrees
Element x y z (fractional)
Ag 0.355 0.655 0.588
Ag 0.000 0.500 0.000
Ag 0.732 0.827 0.319
Ag 0.645 0.345 0.412
Ag 0.268 0.173 0.681
Cl 0.439 0.777 0.967
Cl 0.491 0.053 0.316
Cl 0.004 0.084 0.335
Cl 0.389 0.567 0.278
Cl 0.611 0.433 0.722
Cl 0.949 0.596 0.307
Cl 0.025 0.196 0.005
Cl 0.996 0.916 0.665
Cl 0.561 0.223 0.033
Cl 0.051 0.404 0.693
Cl 0.509 0.947 0.684
Cl 0.975 0.804 0.995
Cu 0.223 0.980 0.986
Cu 0.777 0.020 0.014


(10)
This record from the Alexandria database describes a geometry-optimized ZnNi6B3 structure. The functional is GGA-PBE.

Formation energy (eV per atom): -0.206
Total magnetization (μB/f.u.): 0.00

Cell lengths 5.187, 6.194, 6.194 Å; angles 99.84, 90.00, 90.00 degrees
Element x y z (fractional)
Ni 0.796 0.943 0.537
Ni 0.227 0.017 0.983
Ni 0.664 0.627 0.704
Ni 0.296 0.537 0.943
Ni 0.296 0.057 0.463
Ni 0.041 0.773 0.227
Ni 0.664 0.296 0.373
Ni 0.796 0.463 0.057
Ni 0.164 0.373 0.296
Ni 0.541 0.227 0.773
Ni 0.164 0.704 0.627
Ni 0.727 0.983 0.017
B 0.367 0.410 0.590
B 0.467 0.912 0.710
B 0.867 0.590 0.410
B 0.967 0.710 0.912
B 0.467 0.290 0.088
B 0.967 0.088 0.290
Zn 0.996 0.285 0.715
Zn 0.496 0.715 0.285


(11)
This record from the Alexandria database describes a geometry-optimized CsHfRe3 structure. The functional is GGA-PBE.

Formation energy (eV per atom): 3.587
Total magnetization (μB/f.u.): 0.00

Cell lengths 4.842, 4.842, 4.842 Å; angles 90.00, 90.00, 90.00 degrees
Element x y z (fractional)
Cs 0.000 0.000 0.000
Re 0.000 0.000 0.500
Re 0.500 0.000 0.000
Re 0.000 0.500 0.000
Hf 0.500 0.500 0.500


(12)
This record from the Alexandria database describes a geometry-optimized Pm2SmPaS4 structure. The functional is GGA-PBE.

Formation energy (no corrections) (eV per atom): -1.90
Total magnetization (μB/f.u.): 0.00

Cell lengths 3.972, 6.914, 6.914 Å; angles 109.17, 90.00, 90.00 degrees
Element x y z (fractional)
S 0.000 0.255 0.757
S 0.500 0.747 0.756
S 0.000 0.745 0.243
S 0.500 0.253 0.244
Pm 0.000 0.500 0.500
Pm 0.500 0.000 0.500
Pa 0.500 0.500 0.000
Sm 0.000 0.000 0.000


(13)
This record from the Alexandria database describes a geometry-optimized Li2TeAu structure. The functional is GGA-PBE.

Formation energy (no corrections) (eV per atom): -0.54
Total magnetization (μB/f.u.): 0.00

Cell lengths 3.868, 3.076, 7.091 Å; angles 64.95, 90.00, 90.00 degrees
Element x y z (fractional)
Li 0.000 0.021 0.981
Li 0.000 0.479 0.519
Au 0.500 0.750 0.750
Te 0.500 0.250 0.250


(14)
This record from the Alexandria database describes a geometry-optimized Mn2CrTc structure. The functional is GGA-PBE.

Formation energy (eV per atom): 0.095
Total magnetization (μB/f.u.): 3.21

Cell lengths 4.120, 4.120, 4.120 Å; angles 60.00, 60.00, 60.00 degrees
Element x y z (fractional)
Tc 0.750 0.750 0.750
Cr 0.500 0.500 0.500
Mn 0.250 0.250 0.250
Mn 0.000 0.000 0.000


(15)
This record from the Alexandria database describes a geometry-optimized Np2ScO11 structure. The functional is GGA-PBE.

Formation energy (no corrections) (eV per atom): -2.07
Total magnetization (μB/f.u.): 0.94

Cell lengths 8.787, 7.850, 9.234 Å; angles 69.94, 61.58, 55.98 degrees
Element x y z (fractional)
O 0.544 0.978 0.748
O 0.581 0.425 0.457
O 0.113 0.006 0.302
O 0.688 0.772 0.423
O 0.362 0.745 0.075
O 0.467 0.614 0.392
O 0.028 0.114 0.892
O 0.521 0.410 0.627
O 0.038 0.925 0.957
O 0.229 0.478 0.248
O 0.318 0.246 0.574
O 0.617 0.271 0.924
O 0.002 0.723 0.496
O 0.079 0.506 0.802
O 0.715 0.787 0.009
O 0.886 0.998 0.706
O 0.764 0.529 0.758
O 0.278 0.223 0.996
O 0.989 0.287 0.509
O 0.943 0.910 0.126
O 0.449 0.029 0.258
O 0.910 0.498 0.206
Sc 0.168 0.253 0.253
Sc 0.825 0.753 0.753
Np 0.181 0.735 0.280
Np 0.809 0.274 0.725
Np 0.303 0.236 0.779
Np 0.692 0.774 0.225


(16)
This record from the Alexandria database describes a geometry-optimized TmTl2Bi structure. The functional is GGA-PBE.

Formation energy (eV per atom): -0.233
Total magnetization (μB/f.u.): 0.00

Cell lengths 4.857, 4.819, 4.819 Å; angles 90.00, 90.00, 90.00 degrees
Element x y z (fractional)
Tm 0.500 0.000 0.000
Tl 0.000 0.000 0.500
Tl 0.000 0.500 0.000
Bi 0.500 0.500 0.500


(17)
This record from the Alexandria database describes a geometry-optimized BaLi8Cd4 structure. The functional is GGA-PBE.

Formation energy (eV per atom): -0.176
Total magnetization (μB/f.u.): 0.00

Cell lengths 5.828, 7.698, 7.698 Å; angles 81.76, 67.76, 67.76 degrees
Element x y z (fractional)
Li 0.265 0.235 0.235
Li 0.500 0.235 0.765
Li 0.500 0.765 0.235
Li 0.000 0.647 0.353
Li 0.735 0.765 0.765
Li 0.000 0.353 0.647
Li 0.647 0.353 0.353
Li 0.353 0.647 0.647
Cd 0.500 0.500 0.000
Cd 0.000 0.500 0.000
Cd 0.000 0.000 0.500
Cd 0.500 0.000 0.500
Ba 0.000 0.000 0.000


(18)
This record from the Alexandria database describes a geometry-optimized KYPb structure. The functional is GGA-PBE.

Formation energy (eV per atom): -0.147
Total magnetization (μB/f.u.): 0.00

Cell lengths 9.496, 5.881, 4.793 Å; angles 65.95, 89.93, 74.02 degrees
Element x y z (fractional)
Pb 0.333 0.702 0.899
Pb 0.667 0.298 0.101
K 0.880 0.847 0.825
K 0.120 0.153 0.175
Y 0.438 0.258 0.622
Y 0.562 0.742 0.378


(19)
This record from the Alexandria database describes a geometry-optimized Sm4Al5Zn2 structure. The functional is GGA-PBE.

Formation energy (eV per atom): -0.318
Total magnetization (μB/f.u.): 0.00

Cell lengths 3.587, 7.387, 9.534 Å; angles 93.34, 90.00, 90.00 degrees
Element x y z (fractional)
Sm 0.500 0.724 0.559
Sm 0.500 0.170 0.883
Sm 0.500 0.830 0.117
Sm 0.500 0.276 0.441
Al 0.000 0.500 0.000
Al 0.000 0.437 0.710
Al 0.000 0.200 0.167
Al 0.000 0.800 0.833
Al 0.000 0.563 0.290
Zn 0.000 0.055 0.634
Zn 0.000 0.945 0.366


(20)
This record from the Alexandria database describes a geometry-optimized Li6AgPb2 structure. The functional is GGA-PBE.

Formation energy (eV per atom): -0.224
Total magnetization (μB/f.u.): 0.00

Cell lengths 3.130, 7.973, 8.546 Å; angles 117.81, 68.39, 90.00 degrees
Element x y z (fractional)
Li 0.834 0.000 0.672
Li 0.166 0.000 0.328
Li 0.166 0.328 0.328
Li 0.834 0.672 0.672
Li 0.500 0.329 0.000
Li 0.500 0.671 0.000
Ag 0.000 0.000 0.000
Pb 0.332 0.334 0.667
Pb 0.668 0.666 0.333